# CrAg2Se

A relaxed structure of CrAg2Se (PBE, Alexandria).

a b c (Å): 3.391 3.391 6.538
angles (deg): 90.00 90.00 90.00
Space group P4mm (No. 99)
Asymmetric unit:
Cr 0.000 0.000 0.000
Ag 0.000 0.000 0.497
Ag 0.500 0.500 0.726
Se 0.500 0.500 0.153

Summary:
Its calculated total energy is -18.5 eV per formula unit. The value obtained for the formation energy from raw total energies is 7 kJ/mol of atoms.